No. 1
Computed, not measured: TbZn3P3 after structural relaxation at the PBEsol level of DFT.

a b c (Å): 3.951 3.951 19.483
angles (deg): 90.00 90.00 120.00
Atoms (fractional coordinates):
P1 0.667 0.333 0.750
P2 0.667 0.333 0.085
P3 0.667 0.333 0.415
P4 0.333 0.667 0.915
P5 0.333 0.667 0.585
P6 0.333 0.667 0.250
Zn1 0.667 0.333 0.628
Zn2 0.333 0.667 0.750
Zn3 0.667 0.333 0.250
Zn4 0.667 0.333 0.872
Zn5 0.333 0.667 0.372
Zn6 0.333 0.667 0.128
Tb1 0.000 0.000 0.500
Tb2 0.000 0.000 0.000

Summary:
space group	P6_3/mmc, No. 194
size of the total moment	0.0	μB/f.u.
ΔH_f (0 K)	-4.18	eV/f.u.
DFT total energy	-31.31	eV per formula unit

No. 2
Computed, not measured: Tc5P after structural relaxation at the PBEsol level of DFT.

a b c (Å): 4.684 4.794 4.794
angles (deg): 120.00 90.00 90.00
Atoms (fractional coordinates):
P1 0.000 0.000 0.000
Tc1 0.000 0.667 0.333
Tc2 0.500 0.500 0.000
Tc3 0.000 0.333 0.667
Tc4 0.500 0.000 0.500
Tc5 0.500 0.500 0.500

Summary:
space group	P6/mmm, No. 191
size of the total moment	0.0	μB/f.u.
ΔH_f (0 K)	4.27	eV/f.u.
DFT total energy	-57.85	eV per formula unit

No. 3
Computed, not measured: TcP after structural relaxation at the PBEsol level of DFT.

a b c (Å): 3.031 5.641 6.190
angles (deg): 90.00 90.00 90.00
Atoms (fractional coordinates):
Tc1 0.250 0.992 0.301
Tc2 0.750 0.008 0.699
Tc3 0.750 0.508 0.801
Tc4 0.250 0.492 0.199
P1 0.250 0.813 0.941
P2 0.750 0.187 0.059
P3 0.750 0.687 0.441
P4 0.250 0.313 0.559

Summary:
space group	Pnma, No. 62
excess energy over the best structure of this formula in the dataset	0.000	eV per atom
size of the total moment	0.0	μB/f.u.
ΔH_f (0 K)	-1.31	eV/f.u.
DFT total energy	-18.37	eV per formula unit

No. 4
Computed, not measured: TcP after structural relaxation at the PBEsol level of DFT.

a b c (Å): 3.016 4.338 6.503
angles (deg): 99.59 90.00 110.34
Atoms (fractional coordinates):
Tc1 0.237 0.474 0.062
Tc2 0.000 0.999 0.360
Tc3 0.322 0.644 0.660
P1 0.715 0.431 0.358
P2 0.620 0.240 0.757
P3 0.940 0.879 0.970

Summary:
space group	Cm, No. 8
excess energy over the best structure of this formula in the dataset	0.115	eV per atom
size of the total moment	0.0	μB/f.u.
ΔH_f (0 K)	-1.08	eV/f.u.
DFT total energy	-18.14	eV per formula unit

No. 5
Computed, not measured: TcP2 after structural relaxation at the PBEsol level of DFT.

a b c (Å): 2.938 3.941 3.941
angles (deg): 90.00 90.00 90.00
Atoms (fractional coordinates):
P1 0.500 0.500 0.000
P2 0.500 0.000 0.500
Tc1 0.000 0.000 0.000

Summary:
space group	P4/mmm, No. 123
size of the total moment	0.0	μB/f.u.
ΔH_f (0 K)	0.51	eV/f.u.
DFT total energy	-22.34	eV per formula unit

No. 6
Computed, not measured: TcP after structural relaxation at the PBEsol level of DFT.

a b c (Å): 2.933 4.098 4.302
angles (deg): 90.00 90.00 90.00
Atoms (fractional coordinates):
P1 0.000 0.391 0.000
P2 0.500 0.609 0.500
Tc1 0.000 0.129 0.500
Tc2 0.500 0.871 0.000

Summary:
space group	Pmmn, No. 59
excess energy over the best structure of this formula in the dataset	0.176	eV per atom
size of the total moment	0.0	μB/f.u.
ΔH_f (0 K)	-0.96	eV/f.u.
DFT total energy	-18.02	eV per formula unit

No. 7
Computed, not measured: TcP after structural relaxation at the PBEsol level of DFT.

a b c (Å): 2.913 2.913 2.913
angles (deg): 90.00 90.00 90.00
Atoms (fractional coordinates):
Tc1 0.000 0.000 0.000
P1 0.500 0.500 0.500

Summary:
space group	Pm-3m, No. 221
excess energy over the best structure of this formula in the dataset	0.145	eV per atom
size of the total moment	0.0	μB/f.u.
ΔH_f (0 K)	-1.02	eV/f.u.
DFT total energy	-18.08	eV per formula unit

No. 8
Computed, not measured: TcP4 after structural relaxation at the PBEsol level of DFT.

a b c (Å): 6.207 9.171 10.799
angles (deg): 90.00 90.00 90.00
Atoms (fractional coordinates):
P1 0.496 0.708 0.068
P2 0.440 0.280 0.236
P3 0.996 0.708 0.432
P4 0.560 0.720 0.764
P5 0.496 0.792 0.568
P6 0.689 0.053 0.762
P7 0.811 0.553 0.762
P8 0.004 0.292 0.568
P9 0.811 0.947 0.262
P10 0.745 0.457 0.581
P11 0.255 0.957 0.919
P12 0.996 0.792 0.932
P13 0.060 0.720 0.736
P14 0.440 0.220 0.736
P15 0.004 0.208 0.068
P16 0.245 0.457 0.919
P17 0.189 0.053 0.738
P18 0.189 0.447 0.238
P19 0.745 0.043 0.081
P20 0.060 0.780 0.236
P21 0.245 0.043 0.419
P22 0.689 0.447 0.262
P23 0.311 0.553 0.738
P24 0.940 0.280 0.264
P25 0.311 0.947 0.238
P26 0.560 0.780 0.264
P27 0.940 0.220 0.764
P28 0.255 0.543 0.419
P29 0.504 0.292 0.932
P30 0.504 0.208 0.432
P31 0.755 0.957 0.581
P32 0.755 0.543 0.081
Tc1 0.120 0.891 0.575
Tc2 0.380 0.391 0.575
Tc3 0.620 0.891 0.925
Tc4 0.880 0.109 0.425
Tc5 0.620 0.609 0.425
Tc6 0.380 0.109 0.075
Tc7 0.120 0.609 0.075
Tc8 0.880 0.391 0.925

Summary:
space group	Pbca, No. 61
size of the total moment	0.0	μB/f.u.
ΔH_f (0 K)	-2.33	eV/f.u.
DFT total energy	-36.76	eV per formula unit

No. 9
Computed, not measured: TcP after structural relaxation at the PBEsol level of DFT.

a b c (Å): 2.913 3.298 3.298
angles (deg): 120.00 90.00 90.00
Atoms (fractional coordinates):
P1 0.000 0.000 0.000
Tc1 0.500 0.333 0.667

Summary:
space group	P-6m2, No. 187
excess energy over the best structure of this formula in the dataset	0.108	eV per atom
size of the total moment	0.0	μB/f.u.
ΔH_f (0 K)	-1.10	eV/f.u.
DFT total energy	-18.15	eV per formula unit

No. 10
Computed, not measured: TcP after structural relaxation at the PBEsol level of DFT.

a b c (Å): 4.748 4.748 4.748
angles (deg): 90.00 90.00 90.00
Atoms (fractional coordinates):
Tc1 0.140 0.140 0.140
Tc2 0.860 0.640 0.360
Tc3 0.360 0.860 0.640
Tc4 0.640 0.360 0.860
P1 0.577 0.923 0.077
P2 0.077 0.577 0.923
P3 0.923 0.077 0.577
P4 0.423 0.423 0.423

Summary:
space group	P2_13, No. 198
excess energy over the best structure of this formula in the dataset	0.020	eV per atom
size of the total moment	0.0	μB/f.u.
ΔH_f (0 K)	-1.27	eV/f.u.
DFT total energy	-18.33	eV per formula unit

No. 11
Computed, not measured: Tc2TeP after structural relaxation at the PBEsol level of DFT.

a b c (Å): 3.112 4.025 5.099
angles (deg): 90.00 90.00 90.00
Atoms (fractional coordinates):
Te1 0.500 0.500 0.000
Tc1 0.500 0.000 0.500
Tc2 0.000 0.000 0.000
P1 0.000 0.500 0.500

Summary:
space group	Pmmm, No. 47
E_form (uncorrected)	598	meV per atom
excess energy over the best structure of this formula in the dataset	0.561	eV per atom
size of the total moment	0.0	μB/f.u.
DFT total energy	-29.46	eV per formula unit

No. 12
Computed, not measured: Tc2TeP after structural relaxation at the PBEsol level of DFT.

a b c (Å): 3.096 3.552 6.100
angles (deg): 90.00 104.34 90.00
Atoms (fractional coordinates):
P1 0.000 0.500 0.500
Te1 0.500 0.500 0.000
Tc1 0.847 0.000 0.700
Tc2 0.153 0.000 0.300

Summary:
space group	P2/m, No. 10
E_form (uncorrected)	136	meV per atom
excess energy over the best structure of this formula in the dataset	0.099	eV per atom
size of the total moment	0.0	μB/f.u.
DFT total energy	-31.31	eV per formula unit

No. 13
Computed, not measured: Tc2TeP after structural relaxation at the PBEsol level of DFT.

a b c (Å): 4.002 4.002 4.798
angles (deg): 114.65 114.65 90.00
Atoms (fractional coordinates):
Te1 0.500 0.500 0.000
P1 0.250 0.750 0.500
Tc1 0.750 0.250 0.500
Tc2 0.000 0.000 0.000

Summary:
space group	I-4m2, No. 119
E_form (uncorrected)	463	meV per atom
excess energy over the best structure of this formula in the dataset	0.426	eV per atom
size of the total moment	0.0	μB/f.u.
DFT total energy	-30.00	eV per formula unit

No. 14
Computed, not measured: Tc4TeP after structural relaxation at the PBEsol level of DFT.

a b c (Å): 5.131 5.131 5.131
angles (deg): 60.00 60.00 60.00
Atoms (fractional coordinates):
Tc1 0.374 0.877 0.374
Tc2 0.374 0.374 0.877
Tc3 0.877 0.374 0.374
Tc4 0.374 0.374 0.374
P1 0.000 0.000 0.000
Te1 0.750 0.750 0.750

Summary:
space group	F-43m, No. 216
E_form (uncorrected)	719	meV per atom
size of the total moment	0.0	μB/f.u.
DFT total energy	-50.07	eV per formula unit